(1)
A relaxed WSe2I crystal. Source: the Alexandria database, functional GGA-PBE.

Summary:
The energy above the most stable polymorph in this dataset is 0.061 eV per atom. The total moment comes out at 0.0 μB/f.u. The uncorrected formation energy is -219 meV per atom.

Unit cell a=6.1468 b=6.5128 c=7.5837 alpha=93.68 beta=110.14 gamma=117.41
Atoms (fractional coordinates):
1 I 0.5292 0.4298 0.7781
2 I 0.4708 0.5702 0.2219
3 Se 0.1186 0.9170 0.2083
4 Se 0.8042 0.2301 0.2458
5 Se 0.8814 0.0830 0.7917
6 Se 0.1958 0.7699 0.7542
7 W 0.6502 0.8907 0.9794
8 W 0.3498 0.1093 0.0206

---

(2)
A relaxed LiScRu2 crystal. Source: the Alexandria database, functional GGA-PBE.

Summary:
For the formation enthalpy at 0 K, the calculation gives 0.309 eV/atom. The total moment comes out at 0.0 μB/f.u.

Unit cell a=3.8609 b=3.8609 c=9.3080 alpha=78.03 beta=78.03 gamma=90.00
Atoms (fractional coordinates):
1 Ru 0.8750 0.8134 0.7500
2 Ru 0.3750 0.4366 0.7500
3 Ru 0.1866 0.6250 0.2500
4 Ru 0.5634 0.1250 0.2500
5 Sc 0.0000 0.0000 0.0000
6 Sc 0.7500 0.2500 0.5000
7 Li 0.5000 0.5000 0.0000
8 Li 0.2500 0.7500 0.5000

---

(3)
A relaxed Nd5Sm2HoSc crystal. Source: the Alexandria database, functional GGA-PBE.

Summary:
For the formation enthalpy at 0 K, the calculation gives 0.288 eV/atom. The total moment comes out at 0.0 μB/f.u.

Unit cell a=8.4629 b=8.4629 c=10.3970 alpha=114.02 beta=114.02 gamma=90.00
Atoms (fractional coordinates):
1 Sm 0.1247 0.3753 0.0000
2 Sm 0.3753 0.8753 0.0000
3 Sm 0.8753 0.6247 0.0000
4 Sm 0.6247 0.1247 0.0000
5 Nd 0.3610 0.8610 0.2901
6 Nd 0.5000 0.5000 0.0000
7 Nd 0.9290 0.4290 0.2901
8 Nd 0.0000 0.0000 0.0000
9 Nd 0.4290 0.3610 0.2901
10 Nd 0.1390 0.0710 0.7099
11 Nd 0.5710 0.6390 0.7099
12 Nd 0.8610 0.9290 0.2901
13 Nd 0.6390 0.1390 0.7099
14 Nd 0.0710 0.5710 0.7099
15 Ho 0.2500 0.2500 0.5000
16 Ho 0.7500 0.7500 0.5000
17 Sc 0.7500 0.2500 0.5000
18 Sc 0.2500 0.7500 0.5000

---

(4)
A relaxed KGaSb2N crystal. Source: the Alexandria database, functional GGA-PBE.

Summary:
The total moment comes out at 0.0 μB/f.u. The uncorrected formation energy is 513 meV per atom.

Unit cell a=6.1126 b=3.5341 c=6.1126 alpha=90.00 beta=90.00 gamma=90.00
Atoms (fractional coordinates):
1 Sb 0.5000 0.0000 0.0000
2 Sb 0.0000 0.0000 0.5000
3 N 0.0000 0.5000 0.0000
4 Ga 0.0000 0.0000 0.0000
5 K 0.5000 0.5000 0.5000

---

(5)
A relaxed TaFeBr2 crystal. Source: the Alexandria database, functional GGA-PBE.

Summary:
The energy above the most stable polymorph in this dataset is 0.040 eV per atom. The total moment comes out at 1.5 μB/f.u. The uncorrected formation energy is 53 meV per atom.

Unit cell a=3.2476 b=3.2476 c=8.3800 alpha=90.00 beta=90.00 gamma=89.72
Atoms (fractional coordinates):
1 Fe 0.0000 0.0000 0.5350
2 Ta 0.5000 0.5000 0.6866
3 Br 0.0000 0.0000 0.9193
4 Br 0.5000 0.5000 0.3592

---

(6)
A relaxed Pm3YAu4 crystal. Source: the Alexandria database, functional GGA-PBE.

Summary:
For the formation enthalpy at 0 K, the calculation gives -0.799 eV/atom. The total moment comes out at 0.0 μB/f.u.

Unit cell a=5.1708 b=5.1708 c=8.2684 alpha=108.27 beta=108.22 gamma=90.00
Atoms (fractional coordinates):
1 Au 0.8785 0.8786 0.7570
2 Au 0.3785 0.3787 0.7570
3 Au 0.6215 0.6213 0.2430
4 Au 0.1215 0.1214 0.2430
5 Pm 0.2519 0.7518 0.5038
6 Pm 0.7481 0.2482 0.4962
7 Pm 0.0000 0.5000 0.0000
8 Y 0.5000 0.0000 0.0000

---

(7)
A relaxed YHo5In2 crystal. Source: the Alexandria database, functional GGA-PBE.

Summary:
For the formation enthalpy at 0 K, the calculation gives -0.081 eV/atom. The energy above the most stable polymorph in this dataset is 0.185 eV per atom. The total moment comes out at 0.0 μB/f.u.

Unit cell a=4.5124 b=7.7354 c=7.7354 alpha=78.03 beta=73.04 gamma=73.04
Atoms (fractional coordinates):
1 Ho 0.3465 0.4652 0.8419
2 Ho 0.3465 0.8419 0.4652
3 Ho 0.0000 0.5000 0.5000
4 Ho 0.6535 0.1581 0.5348
5 Ho 0.6535 0.5348 0.1581
6 Y 0.0000 0.0000 0.0000
7 In 0.7117 0.7883 0.7883
8 In 0.2883 0.2117 0.2117

---

(8)
A relaxed Mg2ZrSiS crystal. Source: the Alexandria database, functional GGA-PBE.

Summary:
The total moment comes out at 0.0 μB/f.u. The uncorrected formation energy is -117 meV per atom.

Unit cell a=4.5981 b=4.9413 c=4.5981 alpha=90.00 beta=90.00 gamma=90.00
Atoms (fractional coordinates):
1 Mg 0.0000 0.0000 0.5000
2 Mg 0.5000 0.0000 0.0000
3 Si 0.5000 0.5000 0.5000
4 S 0.0000 0.0000 0.0000
5 Zr 0.0000 0.5000 0.0000

---

(9)
A relaxed Nd3Y2Hg2 crystal. Source: the Alexandria database, functional GGA-PBE.

Summary:
For the formation enthalpy at 0 K, the calculation gives -0.247 eV/atom. The energy above the most stable polymorph in this dataset is 0.000 eV per atom. The total moment comes out at 0.0 μB/f.u.

Unit cell a=5.4756 b=5.4711 c=8.6771 alpha=108.39 beta=90.03 gamma=120.02
Atoms (fractional coordinates):
1 Nd 0.3409 0.6816 0.5229
2 Nd 0.6591 0.3184 0.4771
3 Nd 0.5000 0.0000 0.0000
4 Y 0.9249 0.8502 0.2751
5 Y 0.0751 0.1498 0.7249
6 Hg 0.2117 0.4229 0.1348
7 Hg 0.7883 0.5771 0.8652

---

(10)
A relaxed Ac8NiGe3I4 crystal. Source: the Alexandria database, functional GGA-PBE.

Summary:
The total moment comes out at 0.0 μB/f.u. The uncorrected formation energy is -901 meV per atom.

Unit cell a=9.2095 b=9.7012 c=9.2129 alpha=118.37 beta=119.99 gamma=90.00
Atoms (fractional coordinates):
1 Ac 0.2247 0.6960 0.9712
2 Ac 0.2535 0.3040 0.0288
3 Ac 0.7353 0.7057 0.4705
4 Ac 0.7753 0.3040 0.0288
5 Ac 0.2647 0.2943 0.5295
6 Ac 0.2254 0.6966 0.4508
7 Ac 0.7465 0.6960 0.9712
8 Ac 0.7746 0.3034 0.5492
9 Ge 0.0000 0.5000 0.5000
10 Ge 0.5000 0.5000 0.5000
11 Ge 0.5000 0.5000 0.0000
12 I 0.5000 0.0000 0.0000
13 I 0.5000 0.0000 0.5000
14 I 0.0000 0.0000 0.0000
15 I 0.0000 0.0000 0.5000
16 Ni 0.0000 0.5000 0.0000

---

(11)
A relaxed Pr8Ga2Ge crystal. Source: the Alexandria database, functional GGA-PBE.

Summary:
For the formation enthalpy at 0 K, the calculation gives -0.321 eV/atom. The total moment comes out at 0.0 μB/f.u.

Unit cell a=5.1307 b=7.0684 c=9.9340 alpha=104.85 beta=104.97 gamma=90.00
Atoms (fractional coordinates):
1 Pr 0.3403 0.0220 0.6806
2 Pr 0.5927 0.4635 0.1855
3 Pr 0.4073 0.5365 0.8145
4 Pr 0.9819 0.2265 0.9637
5 Pr 0.6597 0.9780 0.3194
6 Pr 0.7911 0.6803 0.5821
7 Pr 0.0181 0.7735 0.0363
8 Pr 0.2089 0.3197 0.4179
9 Ga 0.1801 0.7379 0.3603
10 Ga 0.8199 0.2621 0.6397
11 Ge 0.5000 0.0000 0.0000

---

(12)
A relaxed RbSrHgBi crystal. Source: the Alexandria database, functional GGA-PBE.

Summary:
For the formation enthalpy at 0 K, the calculation gives -0.530 eV/atom. The total moment comes out at 0.0 μB/f.u.

Unit cell a=5.9501 b=5.9501 c=5.9501 alpha=60.00 beta=60.00 gamma=60.00
Atoms (fractional coordinates):
1 Bi 0.2500 0.2500 0.2500
2 Hg 0.7500 0.7500 0.7500
3 Rb 0.0000 0.0000 0.0000
4 Sr 0.5000 0.5000 0.5000

---

(13)
A relaxed Ac8Rh6Au crystal. Source: the Alexandria database, functional GGA-PBE.

Summary:
For the formation enthalpy at 0 K, the calculation gives -0.594 eV/atom. The total moment comes out at 0.0 μB/f.u.

Unit cell a=4.5818 b=10.8626 c=10.8626 alpha=120.00 beta=90.00 gamma=90.00
Atoms (fractional coordinates):
1 Rh 0.2482 0.5098 0.6641
2 Rh 0.7518 0.6641 0.1543
3 Rh 0.2482 0.1543 0.4902
4 Rh 0.7518 0.4902 0.3359
5 Rh 0.2482 0.3359 0.8457
6 Rh 0.7518 0.8457 0.5098
7 Ac 0.7444 0.9719 0.3071
8 Ac 0.2556 0.6648 0.9719
9 Ac 0.7488 0.3333 0.6667
10 Ac 0.7444 0.6929 0.6648
11 Ac 0.7444 0.3352 0.0281
12 Ac 0.2556 0.3071 0.3352
13 Ac 0.2512 0.6667 0.3333
14 Ac 0.2556 0.0281 0.6929
15 Au 0.5000 0.0000 0.0000

---

(14)
A relaxed PaSbSe crystal. Source: the Alexandria database, functional GGA-PBE.

Summary:
The total moment comes out at 0.0 μB/f.u. The uncorrected formation energy is -478 meV per atom.

Unit cell a=3.5088 b=3.5088 c=7.6683 alpha=90.00 beta=90.00 gamma=120.00
Atoms (fractional coordinates):
1 Pa 0.3333 0.6667 0.6356
2 Sb 0.0000 0.0000 0.9819
3 Se 0.6667 0.3333 0.3825

---

(15)
A relaxed Ba2Li7Tl crystal. Source: the Alexandria database, functional GGA-PBE.

Summary:
For the formation enthalpy at 0 K, the calculation gives -0.039 eV/atom. The energy above the most stable polymorph in this dataset is 0.000 eV per atom. The total moment comes out at 0.0 μB/f.u.

Unit cell a=5.2134 b=5.2134 c=10.9329 alpha=90.00 beta=90.00 gamma=90.00
Atoms (fractional coordinates):
1 Ba 0.5000 0.0000 0.7571
2 Ba 0.0000 0.5000 0.2429
3 Li 0.5000 0.0000 0.3782
4 Li 0.0000 0.5000 0.6218
5 Li 0.0000 0.0000 0.5000
6 Li 0.5000 0.5000 0.5000
7 Li 0.5000 0.0000 0.1068
8 Li 0.0000 0.0000 0.0000
9 Li 0.0000 0.5000 0.8932
10 Tl 0.5000 0.5000 0.0000

---

(16)
A relaxed DyAl3Os crystal. Source: the Alexandria database, functional GGA-PBE.

Summary:
For the formation enthalpy at 0 K, the calculation gives -0.556 eV/atom. The total moment comes out at 0.0 μB/f.u.

Unit cell a=6.4266 b=6.4266 c=6.4266 alpha=90.00 beta=90.00 gamma=90.00
Atoms (fractional coordinates):
1 Al 0.2090 0.2090 0.2090
2 Al 0.2090 0.2090 0.7910
3 Al 0.7910 0.2090 0.2090
4 Al 0.5000 0.5000 0.5000
5 Al 0.2090 0.7910 0.7910
6 Al 0.7910 0.2090 0.7910
7 Al 0.7910 0.7910 0.7910
8 Al 0.7910 0.7910 0.2090
9 Al 0.2090 0.7910 0.2090
10 Os 0.0000 0.0000 0.5000
11 Os 0.0000 0.5000 0.0000
12 Os 0.5000 0.0000 0.0000
13 Dy 0.5000 0.0000 0.5000
14 Dy 0.5000 0.5000 0.0000
15 Dy 0.0000 0.5000 0.5000

---

(17)
A relaxed Tb2GaAu crystal. Source: the Alexandria database, functional GGA-PBE.

Summary:
For the formation enthalpy at 0 K, the calculation gives -0.718 eV/atom. The total moment comes out at 0.0 μB/f.u.

Unit cell a=4.4765 b=5.9307 c=7.8369 alpha=109.80 beta=90.00 gamma=90.00
Atoms (fractional coordinates):
1 Tb 0.2500 0.7870 0.0660
2 Tb 0.7500 0.2218 0.4202
3 Tb 0.7500 0.2130 0.9340
4 Tb 0.2500 0.7782 0.5798
5 Au 0.2500 0.3486 0.2082
6 Au 0.7500 0.6514 0.7918
7 Ga 0.7500 0.6756 0.2933
8 Ga 0.2500 0.3244 0.7067

---

(18)
A relaxed RbTlBi crystal. Source: the Alexandria database, functional GGA-PBE.

Summary:
For the formation enthalpy at 0 K, the calculation gives -0.163 eV/atom. The total moment comes out at 0.0 μB/f.u.

Unit cell a=3.7321 b=5.8539 c=5.8539 alpha=120.00 beta=90.00 gamma=90.00
Atoms (fractional coordinates):
1 Bi 0.2531 0.6667 0.3333
2 Rb 0.6885 0.3333 0.6667
3 Tl 0.0584 0.0000 0.0000

---

(19)
A relaxed Ca2InOsRh crystal. Source: the Alexandria database, functional GGA-PBE.

Summary:
For the formation enthalpy at 0 K, the calculation gives 0.731 eV/atom. The total moment comes out at 0.2 μB/f.u.

Unit cell a=5.3059 b=5.1050 c=5.3059 alpha=90.00 beta=90.00 gamma=90.00
Atoms (fractional coordinates):
1 Os 0.0000 0.0000 0.0000
2 In 0.0000 0.5000 0.0000
3 Rh 0.5000 0.5000 0.5000
4 Ca 0.0000 0.0000 0.5000
5 Ca 0.5000 0.0000 0.0000

---

(20)
A relaxed PaGaTe2 crystal. Source: the Alexandria database, functional GGA-PBE.

Summary:
The total moment comes out at 2.0 μB/f.u. The uncorrected formation energy is -365 meV per atom.

Unit cell a=5.3389 b=5.3389 c=5.3389 alpha=60.00 beta=60.00 gamma=60.00
Atoms (fractional coordinates):
1 Te 0.2500 0.2500 0.2500
2 Te 0.7500 0.7500 0.7500
3 Pa 0.0000 0.0000 0.0000
4 Ga 0.5000 0.5000 0.5000

---

(21)
A relaxed TcOsRh2 crystal. Source: the Alexandria database, functional GGA-PBE.

Summary:
For the formation enthalpy at 0 K, the calculation gives 0.325 eV/atom. The energy above the most stable polymorph in this dataset is 0.386 eV per atom. The total moment comes out at 0.0 μB/f.u.

Unit cell a=3.2631 b=3.2631 c=5.4889 alpha=90.00 beta=90.00 gamma=90.00
Atoms (fractional coordinates):
1 Os 0.5000 0.5000 0.7494
2 Tc 0.0000 0.0000 0.5030
3 Rh 0.0000 0.0000 0.0005
4 Rh 0.5000 0.5000 0.2472

---

(22)
A relaxed LuScBeCo crystal. Source: the Alexandria database, functional GGA-PBE.

Summary:
For the formation enthalpy at 0 K, the calculation gives -0.144 eV/atom. The total moment comes out at 0.0 μB/f.u.

Unit cell a=4.5498 b=4.5498 c=4.5498 alpha=60.00 beta=60.00 gamma=60.00
Atoms (fractional coordinates):
1 Lu 0.2500 0.2500 0.2500
2 Be 0.0000 0.0000 0.0000
3 Sc 0.7500 0.7500 0.7500
4 Co 0.5000 0.5000 0.5000

---

(23)
A relaxed U2GaRu crystal. Source: the Alexandria database, functional GGA-PBE.

Summary:
For the formation enthalpy at 0 K, the calculation gives 0.243 eV/atom. The total moment comes out at 0.8 μB/f.u.

Unit cell a=2.9349 b=2.9349 c=10.7762 alpha=82.17 beta=82.17 gamma=60.00
Atoms (fractional coordinates):
1 U 0.0937 0.0937 0.7188
2 U 0.9063 0.9063 0.2812
3 Ru 0.5000 0.5000 0.5000
4 Ga 0.0000 0.0000 0.0000

---

(24)
A relaxed LaSn3Pt crystal. Source: the Alexandria database, functional GGA-PBE.

Summary:
For the formation enthalpy at 0 K, the calculation gives 1.251 eV/atom. The total moment comes out at 0.0 μB/f.u.

Unit cell a=5.8910 b=5.8910 c=5.8910 alpha=90.00 beta=90.00 gamma=90.00
Atoms (fractional coordinates):
1 Pt 0.5000 0.5000 0.5000
2 Sn 0.0000 0.5000 0.0000
3 Sn 0.0000 0.0000 0.5000
4 Sn 0.5000 0.0000 0.0000
5 La 0.0000 0.0000 0.0000

---

(25)
A relaxed NdSm3Ga3 crystal. Source: the Alexandria database, functional GGA-PBE.

Summary:
For the formation enthalpy at 0 K, the calculation gives -0.419 eV/atom. The total moment comes out at 0.0 μB/f.u.

Unit cell a=4.8215 b=9.4507 c=9.4507 alpha=120.00 beta=90.00 gamma=90.00
Atoms (fractional coordinates):
1 Sm 0.2500 0.7392 0.9784
2 Sm 0.7500 0.2608 0.0216
3 Sm 0.2500 0.0216 0.7608
4 Sm 0.7500 0.7608 0.7392
5 Sm 0.2500 0.2392 0.2608
6 Sm 0.7500 0.9784 0.2392
7 Ga 0.2500 0.5485 0.6051
8 Ga 0.2500 0.0566 0.4515
9 Ga 0.7500 0.6051 0.0566
10 Ga 0.2500 0.3949 0.9434
11 Ga 0.7500 0.9434 0.5485
12 Ga 0.7500 0.4515 0.3949
13 Nd 0.7500 0.3333 0.6667
14 Nd 0.2500 0.6667 0.3333